Entry from Alexandria via LeMat-Bulk: Ba3BiB9O18 after structural relaxation (GGA-PBEsol). Values from VASP.

Summary:
E_form (uncorrected): -2527 meV/atom
V: 768.6 Å³ per cell
final energy: -493.42 eV per cell

```
&SYSTEM
  ibrav = 0, nat = 62, ntyp = 4
/
ATOMIC_SPECIES
Ba 137.33 Ba.upf
Bi 208.98 Bi.upf
B 10.81 B.upf
O 16.00 O.upf
ATOMIC_POSITIONS crystal
Ba 0.000 0.000 0.250
Ba 0.000 0.000 0.750
Ba 0.333 0.667 0.132
Ba 0.333 0.667 0.368
Ba 0.667 0.333 0.632
Ba 0.667 0.333 0.868
Bi 0.000 0.000 0.000
Bi 0.000 0.000 0.500
B 0.116 0.622 0.750
B 0.162 0.451 0.585
B 0.162 0.451 0.915
B 0.289 0.838 0.585
B 0.289 0.838 0.915
B 0.378 0.495 0.750
B 0.451 0.289 0.085
B 0.451 0.289 0.415
B 0.495 0.116 0.250
B 0.505 0.884 0.750
B 0.549 0.711 0.585
B 0.549 0.711 0.915
B 0.622 0.505 0.250
B 0.711 0.162 0.085
B 0.711 0.162 0.415
B 0.838 0.549 0.085
B 0.838 0.549 0.415
B 0.884 0.378 0.250
O 0.004 0.748 0.087
O 0.004 0.748 0.413
O 0.082 0.413 0.250
O 0.124 0.624 0.583
O 0.124 0.624 0.917
O 0.167 0.458 0.750
O 0.252 0.256 0.087
O 0.252 0.256 0.413
O 0.256 0.004 0.587
O 0.256 0.004 0.913
O 0.291 0.833 0.750
O 0.331 0.918 0.250
O 0.376 0.500 0.583
O 0.376 0.500 0.917
O 0.413 0.331 0.750
O 0.458 0.291 0.250
O 0.500 0.124 0.083
O 0.500 0.124 0.417
O 0.500 0.876 0.583
O 0.500 0.876 0.917
O 0.542 0.709 0.750
O 0.587 0.669 0.250
O 0.624 0.500 0.083
O 0.624 0.500 0.417
O 0.669 0.082 0.750
O 0.709 0.167 0.250
O 0.744 0.996 0.087
O 0.744 0.996 0.413
O 0.748 0.744 0.587
O 0.748 0.744 0.913
O 0.833 0.542 0.250
O 0.876 0.376 0.083
O 0.876 0.376 0.417
O 0.918 0.587 0.750
O 0.996 0.252 0.587
O 0.996 0.252 0.913
CELL_PARAMETERS angstrom
7.230 0.000 0.000
-3.615 6.261 0.000
0.000 0.000 16.978
```

---

Entry from Alexandria via LeMat-Bulk: Na3FeO4 after structural relaxation (GGA-PBEsol). Values from VASP.

Summary:
E_form (uncorrected): -1420 meV/atom
V: 175.2 Å³ per cell
final energy: -91.04 eV per cell

```
&SYSTEM
  ibrav = 0, nat = 16, ntyp = 3
/
ATOMIC_SPECIES
Na 22.99 Na.upf
Fe 55.84 Fe.upf
O 16.00 O.upf
ATOMIC_POSITIONS crystal
Na 0.000 0.114 0.250
Na 0.000 0.371 0.750
Na 0.000 0.629 0.250
Na 0.000 0.886 0.750
Na 0.500 0.381 0.250
Na 0.500 0.619 0.750
Fe 0.500 0.127 0.750
Fe 0.500 0.873 0.250
O 0.284 0.319 0.553
O 0.284 0.681 0.053
O 0.315 0.095 0.993
O 0.315 0.905 0.493
O 0.685 0.095 0.507
O 0.685 0.905 0.007
O 0.716 0.319 0.947
O 0.716 0.681 0.447
CELL_PARAMETERS angstrom
5.688 0.000 0.000
0.000 6.359 0.000
-1.744 0.000 4.843
```

---

Entry from Alexandria via LeMat-Bulk: NiHgAu after structural relaxation (GGA-PBEsol). Values from VASP.

Summary:
V: 47.7 Å³ per cell
energy of formation: 0.19 eV per atom
final energy: -10.08 eV per cell

```
&SYSTEM
  ibrav = 0, nat = 3, ntyp = 3
/
ATOMIC_SPECIES
Ni 58.69 Ni.upf
Hg 200.59 Hg.upf
Au 196.97 Au.upf
ATOMIC_POSITIONS crystal
Ni 0.000 0.000 0.000
Hg 0.333 0.667 0.706
Au 0.667 0.333 0.284
CELL_PARAMETERS angstrom
4.374 0.000 0.000
-2.187 3.788 0.000
0.000 0.000 2.878
```